## CrNO (PBE+U)

Data for an optimized crystal structure of CrNO.

Cell: 2.8723 3.0650 5.1344 Å, 76.14 75.60 62.16°
With the nearest neighbours (Å) after each atom.
Atoms (fractional coordinates):
Cr: 0.2213 0.7790 0.0002  1 N 1.76, 2 O 1.87
N: 0.4580 0.1588 0.1648  1 Cr 1.76
O: 0.8681 0.6888 0.7716  2 Cr 1.87

Summary:
Its crystal system is triclinic. The value obtained for the magnetization is 1.0 μB per cell. The total energy comes out at -7.02 eV/atom.